(A)
First-principles (PBE) data for NaZnGePt after structural relaxation, as listed in Alexandria.

Cell and atoms, written as extended XYZ:
```
4
Lattice="2.148 1.240 5.329 -2.148 1.240 5.329 0.000 -2.481 5.329" Properties=species:S:1:pos:R:3 pbc="T T T"
Na 0.000 0.000 0.000
Zn 0.000 0.000 8.778
Ge 0.000 0.000 12.830
Pt 0.000 0.000 2.938
```

Values from the calculation:
Symmetry: R3m


(B)
First-principles (PBE) data for NaZnGePt after structural relaxation, as listed in Alexandria.

Cell and atoms, written as extended XYZ:
```
4
Lattice="0.000 3.196 3.196 3.196 0.000 3.196 3.196 3.196 0.000" Properties=species:S:1:pos:R:3 pbc="T T T"
Na 0.000 0.000 0.000
Zn 4.793 4.793 4.793
Ge 1.598 1.598 1.598
Pt 3.196 3.196 3.196
```

Values from the calculation:
Symmetry: F-43m


(A) is the most stable structure; the next one sits 7.6 kJ/mol of atoms above it.


(A)
First-principles (PBE) data for RbNa2ZnGe after structural relaxation, as listed in Alexandria.

Cell and atoms, written as extended XYZ:
```
5
Lattice="5.784 0.000 0.000 0.000 5.784 0.000 0.000 0.000 4.852" Properties=species:S:1:pos:R:3 pbc="T T T"
Rb 0.000 0.000 0.000
Na 0.000 2.892 2.426
Na 2.892 0.000 2.426
Zn 2.892 2.892 2.426
Ge 2.892 2.892 0.000
```

Values from the calculation:
Symmetry: P4/mmm


(B)
First-principles (PBE) data for RbNa2ZnGe after structural relaxation, as listed in Alexandria.

Cell and atoms, written as extended XYZ:
```
5
Lattice="5.838 0.000 0.000 0.000 5.838 0.000 0.000 0.000 4.958" Properties=species:S:1:pos:R:3 pbc="T T T"
Rb 0.000 0.000 0.000
Na 0.000 2.919 2.479
Na 2.919 0.000 2.479
Zn 2.919 2.919 0.000
Ge 2.919 2.919 2.479
```

Values from the calculation:
Symmetry: P4/mmm


(B) is the most stable structure; the next one sits 5.3 kJ/mol of atoms above it.


(A)
First-principles (PBE) data for NaReGe2 after structural relaxation, as listed in Alexandria.

Cell and atoms, written as extended XYZ:
```
4
Lattice="0.000 3.190 3.190 3.190 0.000 3.190 3.190 3.190 0.000" Properties=species:S:1:pos:R:3 pbc="T T T"
Na 0.000 0.000 0.000
Re 3.190 3.190 3.190
Ge 1.595 1.595 1.595
Ge 4.785 4.785 4.785
```

Values from the calculation:
Symmetry: Fm-3m


(B)
First-principles (PBE) data for NaReGe2 after structural relaxation, as listed in Alexandria.

Cell and atoms, written as extended XYZ:
```
4
Lattice="3.111 0.000 0.000 0.000 3.111 0.000 0.000 0.000 7.641" Properties=species:S:1:pos:R:3 pbc="T T T"
Na 0.000 0.000 0.000
Re 0.000 0.000 3.820
Ge 1.555 1.555 2.325
Ge 1.555 1.555 5.316
```

Values from the calculation:
Symmetry: P4/mmm


(B) is the most stable structure; the next one sits 34.6 kJ/mol of atoms above it.


(A)
First-principles (PBE) data for NaGe2Rh after structural relaxation, as listed in Alexandria.

Cell and atoms, written as extended XYZ:
```
4
Lattice="2.114 1.221 5.307 -2.114 1.221 5.307 0.000 -2.442 5.307" Properties=species:S:1:pos:R:3 pbc="T T T"
Na 0.000 0.000 0.000
Ge 0.000 0.000 3.340
Ge 0.000 0.000 12.580
Rh 0.000 0.000 7.960
```

Values from the calculation:
Symmetry: R-3m


(B)
First-principles (PBE) data for NaGe2Rh after structural relaxation, as listed in Alexandria.

Cell and atoms, written as extended XYZ:
```
4
Lattice="3.152 0.000 0.000 0.000 3.152 0.000 0.000 0.000 7.379" Properties=species:S:1:pos:R:3 pbc="T T T"
Na 0.000 0.000 0.000
Ge 1.576 1.576 2.249
Ge 1.576 1.576 5.130
Rh 0.000 0.000 3.689
```

Values from the calculation:
Symmetry: P4/mmm


(C)
First-principles (PBE) data for NaGe2Rh after structural relaxation, as listed in Alexandria.

Cell and atoms, written as extended XYZ:
```
8
Lattice="-2.564 2.564 7.851 2.564 -2.564 7.851 2.564 2.564 -7.851" Properties=species:S:1:pos:R:3 pbc="T T T"
Na 0.000 0.000 0.000
Na 0.000 2.564 3.925
Ge 1.282 -0.329 5.888
Ge 2.236 1.282 1.963
Ge 1.282 2.893 -1.963
Ge 0.329 1.282 9.813
Rh 2.564 0.000 3.925
Rh 0.000 0.000 7.851
```

Values from the calculation:
Symmetry: I-42d


(B) is the most stable structure; the next one sits 6.0 kJ/mol of atoms above it.


(A)
First-principles (PBE) data for NaGe2Rh after structural relaxation, as listed in Alexandria.

Cell and atoms, written as extended XYZ:
```
4
Lattice="2.095 1.210 5.303 -2.095 1.210 5.303 0.000 -2.420 5.303" Properties=species:S:1:pos:R:3 pbc="T T T"
Na 0.000 0.000 0.000
Ge 0.000 0.000 8.835
Ge 0.000 0.000 12.616
Rh 0.000 0.000 2.917
```

Values from the calculation:
Symmetry: R3m


(B)
First-principles (PBE) data for NaGe2Rh after structural relaxation, as listed in Alexandria.

Cell and atoms, written as extended XYZ:
```
4
Lattice="0.000 3.183 3.183 3.183 0.000 3.183 3.183 3.183 0.000" Properties=species:S:1:pos:R:3 pbc="T T T"
Na 0.000 0.000 0.000
Ge 1.591 1.591 1.591
Ge 4.774 4.774 4.774
Rh 3.183 3.183 3.183
```

Values from the calculation:
Symmetry: Fm-3m


(A) is the most stable structure; the next one sits 12.8 kJ/mol of atoms above it.


(A)
First-principles (PBE) data for NaGe2Rh2 after structural relaxation, as listed in Alexandria.

Cell and atoms, written as extended XYZ:
```
5
Lattice="-2.062 2.062 5.369 2.062 -2.062 5.369 2.062 2.062 -5.369" Properties=species:S:1:pos:R:3 pbc="T T T"
Na 0.000 0.000 0.000
Ge 2.062 0.000 2.685
Ge 0.000 2.062 2.685
Rh 0.000 0.000 4.060
Rh 0.000 0.000 6.679
```

Values from the calculation:
Symmetry: I4/mmm


(B)
First-principles (PBE) data for NaGe2Rh2 after structural relaxation, as listed in Alexandria.

Cell and atoms, written as extended XYZ:
```
5
Lattice="-2.080 2.080 5.209 2.080 -2.080 5.209 2.080 2.080 -5.209" Properties=species:S:1:pos:R:3 pbc="T T T"
Na 0.000 0.000 0.000
Ge 0.000 0.000 3.899
Ge 0.000 0.000 6.518
Rh 2.080 0.000 2.604
Rh 0.000 2.080 2.604
```

Values from the calculation:
Symmetry: I4/mmm


(B) is the most stable structure; the next one sits 24.4 kJ/mol of atoms above it.


(A)
First-principles (PBE) data for Na3Ge2S4 after structural relaxation, as listed in Alexandria.

Cell and atoms, written as extended XYZ:
```
18
Lattice="7.219 -3.868 0.000 7.219 3.868 0.000 -0.116 0.000 7.900" Properties=species:S:1:pos:R:3 pbc="T T T"
Na 7.132 3.770 5.925
Na 5.457 0.681 1.200
Na 5.399 -0.681 5.150
Na 8.924 0.681 2.750
Na 8.866 -0.681 6.700
Na 7.190 -3.770 1.975
Ge 2.630 1.097 4.124
Ge 2.688 -1.097 0.174
Ge 11.635 1.097 7.726
Ge 11.693 -1.097 3.776
S 2.993 0.544 6.512
S 6.457 1.785 3.932
S 3.051 -0.544 2.562
S 7.923 1.785 0.018
S 6.399 -1.785 7.882
S 11.271 0.544 5.338
S 7.865 -1.785 3.968
S 11.329 -0.544 1.388
```

Values from the calculation:
Symmetry: C2/c


(B)
First-principles (PBE) data for Na3Ge2S4 after structural relaxation, as listed in Alexandria.

Cell and atoms, written as extended XYZ:
```
18
Lattice="6.070 -4.652 0.000 6.070 4.652 0.000 -0.085 0.000 7.847" Properties=species:S:1:pos:R:3 pbc="T T T"
Na 6.006 3.688 5.886
Na 4.476 1.185 7.538
Na 7.536 1.185 4.233
Na 4.519 -1.185 3.614
Na 7.578 -1.185 0.309
Na 6.049 -3.688 1.962
Ge 2.135 1.225 4.789
Ge 2.178 -1.225 0.865
Ge 9.877 1.225 6.982
Ge 9.919 -1.225 3.059
S 1.700 0.674 7.345
S 4.494 1.476 4.651
S 1.743 -0.674 3.421
S 7.517 1.476 7.120
S 4.537 -1.476 0.728
S 10.312 0.674 4.426
S 7.560 -1.476 3.196
S 10.354 -0.674 0.502
```

Values from the calculation:
Symmetry: C2/c


(A) is the most stable structure; the next one sits 3.7 kJ/mol of atoms above it.


(A)
First-principles (PBE) data for NaGeS3 after structural relaxation, as listed in Alexandria.

Cell and atoms, written as extended XYZ:
```
5
Lattice="4.906 0.000 0.000 0.000 4.906 0.000 0.000 0.000 4.906" Properties=species:S:1:pos:R:3 pbc="T T T"
Na 0.000 0.000 0.000
Ge 2.453 2.453 2.453
S 0.000 0.000 2.453
S 0.000 2.453 0.000
S 2.453 0.000 0.000
```

Values from the calculation:
Symmetry: Pm-3m


(B)
First-principles (PBE) data for NaGeS3 after structural relaxation, as listed in Alexandria.

Cell and atoms, written as extended XYZ:
```
20
Lattice="7.603 0.000 0.000 0.000 7.226 0.000 -6.036 0.000 9.673" Properties=species:S:1:pos:R:3 pbc="T T T"
Na -2.148 0.993 3.525
Na -5.166 2.620 8.362
Na 6.733 4.606 1.311
Na 3.715 6.233 6.148
Ge -0.120 4.838 4.847
Ge 2.898 6.002 0.010
Ge -1.330 1.225 9.663
Ge 1.687 2.388 4.826
S -2.051 5.286 4.001
S -5.069 5.553 8.837
S 0.693 0.535 3.937
S -2.325 3.078 8.773
S 1.388 4.057 3.314
S -1.630 6.783 8.151
S 3.197 0.444 1.522
S 0.179 3.169 6.359
S 3.892 4.148 0.900
S 0.874 6.692 5.736
S 6.636 1.673 0.836
S 3.618 1.940 5.672
```

Values from the calculation:
Symmetry: P2_1/c


(C)
First-principles (PBE) data for NaGeS3 after structural relaxation, as listed in Alexandria.

Cell and atoms, written as extended XYZ:
```
5
Lattice="4.792 0.000 0.000 0.000 4.792 0.000 0.000 0.000 4.792" Properties=species:S:1:pos:R:3 pbc="T T T"
Na 0.000 0.000 0.000
Ge 2.396 2.396 2.396
S 0.000 2.396 2.396
S 2.396 0.000 2.396
S 2.396 2.396 0.000
```

Values from the calculation:
Symmetry: Pm-3m


(B) is the most stable structure; the next one sits 47.0 kJ/mol of atoms above it.


(A)
First-principles (PBE) data for NaGeSb3 after structural relaxation, as listed in Alexandria.

Cell and atoms, written as extended XYZ:
```
10
Lattice="4.184 -8.959 0.000 4.184 8.959 0.000 0.000 0.000 3.887" Properties=species:S:1:pos:R:3 pbc="T T T"
Na 0.000 0.000 0.000
Na 4.184 0.000 1.943
Ge 2.092 4.479 3.886
Ge 2.092 -4.479 3.886
Sb 1.570 2.401 1.940
Sb 1.570 -2.401 1.940
Sb 4.184 2.586 3.886
Sb 4.184 -2.586 3.886
Sb 6.797 2.401 1.940
Sb 6.797 -2.401 1.940
```

Values from the calculation:
Symmetry: Cmm2


(B)
First-principles (PBE) data for NaGeSb3 after structural relaxation, as listed in Alexandria.

Cell and atoms, written as extended XYZ:
```
5
Lattice="5.360 0.000 0.000 0.000 5.360 0.000 0.000 0.000 5.360" Properties=species:S:1:pos:R:3 pbc="T T T"
Na 0.000 0.000 0.000
Ge 2.680 2.680 2.680
Sb 0.000 0.000 2.680
Sb 0.000 2.680 0.000
Sb 2.680 0.000 0.000
```

Values from the calculation:
Symmetry: Pm-3m


(A) is the most stable structure; the next one sits 85.2 kJ/mol of atoms above it.


(A)
First-principles (PBE) data for Na2GeSb2 after structural relaxation, as listed in Alexandria.

Cell and atoms, written as extended XYZ:
```
10
Lattice="9.190 0.000 0.000 0.000 9.190 0.000 0.000 0.000 3.114" Properties=species:S:1:pos:R:3 pbc="T T T"
Na 1.056 3.539 0.000
Na 3.539 8.134 0.000
Na 5.651 1.056 0.000
Na 8.134 5.651 0.000
Ge 0.000 0.000 0.000
Ge 4.595 4.595 0.000
Sb 1.705 6.300 1.557
Sb 2.891 1.705 1.557
Sb 6.300 7.486 1.557
Sb 7.486 2.891 1.557
```

Values from the calculation:
Symmetry: P4/mbm


(B)
First-principles (PBE) data for Na2GeSb2 after structural relaxation, as listed in Alexandria.

Cell and atoms, written as extended XYZ:
```
10
Lattice="-3.408 6.381 3.575 3.408 -6.381 3.575 3.408 6.381 -3.575" Properties=species:S:1:pos:R:3 pbc="T T T"
Na 1.112 1.633 0.000
Na 1.112 -1.633 3.575
Na 2.296 8.014 0.000
Na 2.296 4.748 3.575
Ge 3.408 0.000 1.788
Ge 0.000 6.381 1.788
Sb 4.715 1.558 0.000
Sb 1.307 4.823 0.000
Sb 2.101 1.558 3.575
Sb -1.307 4.823 3.575
```

Values from the calculation:
Symmetry: Ibam


(B) is the most stable structure; the next one sits 24.3 kJ/mol of atoms above it.


(A)
First-principles (PBE) data for NaGe3Sb after structural relaxation, as listed in Alexandria.

Cell and atoms, written as extended XYZ:
```
5
Lattice="5.441 0.000 0.000 0.000 5.441 0.000 0.000 0.000 5.441" Properties=species:S:1:pos:R:3 pbc="T T T"
Na 0.000 0.000 0.000
Ge 0.000 2.721 2.721
Ge 2.721 0.000 2.721
Ge 2.721 2.721 0.000
Sb 2.721 2.721 2.721
```

Values from the calculation:
Symmetry: Pm-3m


(B)
First-principles (PBE) data for NaGe3Sb after structural relaxation, as listed in Alexandria.

Cell and atoms, written as extended XYZ:
```
5
Lattice="5.076 0.000 0.000 0.000 5.076 0.000 0.000 0.000 5.076" Properties=species:S:1:pos:R:3 pbc="T T T"
Na 0.000 0.000 0.000
Ge 0.000 0.000 2.538
Ge 0.000 2.538 0.000
Ge 2.538 0.000 0.000
Sb 2.538 2.538 2.538
```

Values from the calculation:
Symmetry: Pm-3m


(A) is the most stable structure; the next one sits 24.4 kJ/mol of atoms above it.


(A)
First-principles (PBE) data for NaGeSbTe2 after structural relaxation, as listed in Alexandria.

Cell and atoms, written as extended XYZ:
```
5
Lattice="5.570 0.000 0.000 0.000 5.570 0.000 0.000 0.000 5.390" Properties=species:S:1:pos:R:3 pbc="T T T"
Na 0.000 0.000 0.000
Ge 2.785 2.785 2.695
Sb 2.785 2.785 0.000
Te 0.000 2.785 2.695
Te 2.785 0.000 2.695
```

Values from the calculation:
Symmetry: P4/mmm


(B)
First-principles (PBE) data for NaGeSbTe2 after structural relaxation, as listed in Alexandria.

Cell and atoms, written as extended XYZ:
```
5
Lattice="5.532 0.000 0.000 0.000 5.532 0.000 0.000 0.000 5.254" Properties=species:S:1:pos:R:3 pbc="T T T"
Na 0.000 0.000 0.000
Ge 2.766 2.766 2.627
Sb 0.000 0.000 2.627
Te 0.000 2.766 0.000
Te 2.766 0.000 0.000
```

Values from the calculation:
Symmetry: P4/mmm


(A) is the most stable structure; the next one sits 58.9 kJ/mol of atoms above it.